Entry from Alexandria: a relaxed Li2AlCrIr crystal (GGA-PBE).

Values from the calculation:
Mass density: 5.013 g/cm3
ΔE_f: 922 meV per atom
Calculated total energy: -4.289 eV/atom
Volume: 18.89 Å³ per atom

a b c (Å): 4.4948 4.6744 4.4948
angles (deg): 90.00 90.00 90.00
Site moments in Bohr magnetons follow the coordinates.
Fractional positions:
Cr 0.5000 0.5000 0.5000  -0.11
Ir 0.0000 0.0000 0.0000  0.04
Al 0.0000 0.5000 0.0000  0.02
Li 0.0000 0.0000 0.5000  0.01
Li 0.5000 0.0000 0.0000  0.01

Entry from Alexandria: a relaxed MgGaCu3 crystal (GGA-PBE).

Values from the calculation:
Energy relative to the lowest polymorph listed for this composition: 0 meV per atom
Mass density: 5.370 g/cm3
ΔE_f: 193 meV per atom
Calculated total energy: -3.189 eV/atom
Volume: 17.60 Å³ per atom

a b c (Å): 4.6080 6.7016 6.7016
angles (deg): 121.72 90.00 90.00
Fractional positions:
Mg 0.7500 0.5772 0.4228
Mg 0.2500 0.4228 0.5772
Ga 0.7500 0.8179 0.1821
Ga 0.2500 0.1821 0.8179
Cu 0.7500 0.3868 0.9755
Cu 0.7500 0.0245 0.6132
Cu 0.2500 0.9755 0.3868
Cu 0.2500 0.6132 0.0245
Cu 0.0000 0.0000 0.0000
Cu 0.5000 0.0000 0.0000

Entry from Alexandria: a relaxed SiSI crystal (GGA-PBE).

Values from the calculation:
Energy relative to the elements, uncorrected: -0.059 eV per atom
Energy relative to the lowest polymorph listed for this composition: 159 meV per atom
Mass density: 2.492 g/cm3
Calculated total energy: -3.759 eV/atom
Volume: 41.54 Å³ per atom

a b c (Å): 10.3275 10.3275 9.0895
angles (deg): 63.58 63.58 65.31
Fractional positions:
Si 0.1707 0.8293 0.7500
Si 0.8293 0.1707 0.2500
Si 0.3913 0.4526 0.8243
Si 0.5474 0.6087 0.6757
Si 0.6087 0.5474 0.1757
Si 0.4526 0.3913 0.3243
I 0.9523 0.0477 0.7500
I 0.0477 0.9523 0.2500
I 0.3338 0.3196 0.6701
I 0.6804 0.6662 0.8299
I 0.6662 0.6804 0.3299
I 0.3196 0.3338 0.1701
S 0.6401 0.3599 0.7500
S 0.3599 0.6401 0.2500
S 0.1282 0.6261 0.8545
S 0.3739 0.8718 0.6455
S 0.8718 0.3739 0.1455
S 0.6261 0.1282 0.3545

Entry from Alexandria: a relaxed As2Br5Cl3 crystal (GGA-PBE).

Values from the calculation:
Energy relative to the elements, uncorrected: -0.318 eV per atom
Mass density: 2.544 g/cm3
Calculated total energy: -2.638 eV/atom
Volume: 42.80 Å³ per atom

a b c (Å): 8.1859 11.4923 11.4923
angles (deg): 103.95 69.14 69.14
Fractional positions:
As 0.1434 0.7740 0.9392
As 0.8566 0.2260 0.0608
As 0.6434 0.9392 0.7740
As 0.3566 0.0608 0.2260
Br 0.2500 0.5000 0.5000
Br 0.7500 0.5000 0.5000
Br 0.5282 0.7218 0.7218
Br 0.9718 0.2782 0.2782
Br 0.4718 0.2782 0.2782
Br 0.0282 0.7218 0.7218
Br 0.9938 0.8342 0.1783
Br 0.0062 0.1658 0.8217
Br 0.4938 0.1783 0.8342
Br 0.5062 0.8217 0.1658
Cl 0.2500 0.0000 0.0000
Cl 0.7500 0.0000 0.0000
Cl 0.2848 0.5511 0.8793
Cl 0.7152 0.4489 0.1207
Cl 0.7848 0.8793 0.5511
Cl 0.2152 0.1207 0.4489

Entry from Alexandria: a relaxed Ce2Fe5Co12 crystal (GGA-PBE).

Values from the calculation:
Mass density: 8.521 g/cm3
ΔE_f: -86 meV per atom
Calculated total energy: -7.425 eV/atom
Volume: 12.99 Å³ per atom

a b c (Å): 6.3216 6.3216 6.3216
angles (deg): 82.63 82.63 82.63
Site moments in Bohr magnetons follow the coordinates.
Fractional positions:
Ce 0.6568 0.6568 0.6568  -0.81
Ce 0.3432 0.3432 0.3432  -0.81
Fe 0.0000 0.0000 0.5000  2.36
Fe 0.0000 0.5000 0.0000  2.36
Fe 0.5000 0.0000 0.0000  2.36
Fe 0.9038 0.9038 0.9038  2.55
Fe 0.0962 0.0962 0.0962  2.55
Co 0.2888 0.7112 0.0000  1.50
Co 0.7112 0.0000 0.2888  1.50
Co 0.0000 0.2888 0.7112  1.50
Co 0.7112 0.2888 0.0000  1.50
Co 0.2888 0.0000 0.7112  1.50
Co 0.0000 0.7112 0.2888  1.50
Co 0.3461 0.3461 0.8441  1.47
Co 0.3461 0.8441 0.3461  1.47
Co 0.8441 0.3461 0.3461  1.47
Co 0.6539 0.1559 0.6539  1.47
Co 0.6539 0.6539 0.1559  1.47
Co 0.1559 0.6539 0.6539  1.47

Entry from Alexandria: a relaxed Sc3MnNi crystal (GGA-PBE).

Values from the calculation:
Energy relative to the lowest polymorph listed for this composition: 0 meV per atom
Mass density: 3.620 g/cm3
ΔE_f: 209 meV per atom
Calculated total energy: -6.580 eV/atom
Volume: 22.80 Å³ per atom

a b c (Å): 4.8489 4.8489 4.8489
angles (deg): 90.00 90.00 90.00
Site moments in Bohr magnetons follow the coordinates.
Fractional positions:
Sc 0.0000 0.5000 0.0000  -0.21
Sc 0.0000 0.0000 0.5000  -0.13
Sc 0.5000 0.0000 0.0000  -0.35
Ni 0.0000 0.0000 0.0000  -0.01
Mn 0.5000 0.5000 0.5000  3.96

Entry from Alexandria: a relaxed PmMnCrC2 crystal (GGA-PBE).

Values from the calculation:
Mass density: 7.331 g/cm3
ΔE_f: -138 meV per atom
Calculated total energy: -8.536 eV/atom
Volume: 12.50 Å³ per atom

a b c (Å): 3.4564 3.4564 5.7748
angles (deg): 107.41 107.41 90.00
Site moments in Bohr magnetons follow the coordinates.
Fractional positions:
Pm 0.0000 0.0000 0.0000  -0.03
Mn 0.2500 0.7500 0.5000  0.22
Cr 0.7500 0.2500 0.5000  0.56
C 0.6562 0.6562 0.3124  -0.02
C 0.3438 0.3438 0.6876  -0.02

Entry from Alexandria: a relaxed YBi3C crystal (GGA-PBE).

Values from the calculation:
Energy relative to the lowest polymorph listed for this composition: 1087 meV per atom
Mass density: 5.921 g/cm3
ΔE_f: 1682 meV per atom
Calculated total energy: -3.784 eV/atom
Volume: 40.82 Å³ per atom

a b c (Å): 5.8879 5.8879 5.8879
angles (deg): 90.00 90.00 90.00
Site moments in Bohr magnetons follow the coordinates.
Fractional positions:
Y 0.0000 0.0000 0.0000  0.04
C 0.5000 0.5000 0.5000  0.97
Bi 0.0000 0.5000 0.0000  0.03
Bi 0.0000 0.0000 0.5000  -0.08
Bi 0.5000 0.0000 0.0000  -0.01

no.,spin magnetization (μB per formula unit)
1,0.10
2,0.00
3,0.00
4,0.00
5,27.28
6,2.95
7,0.70
8,2.04